# 1
A relaxed structure of PmPaPd2, computed with PBE-GGA.

Lattice parameters (Å, degrees): 5.0262 5.0262 5.0262 60.00 60.00 60.00
Sites, in units of the cell vectors:
1 Pa 0.0000 0.0000 0.0000
2 Pd 0.2500 0.2500 0.2500
3 Pd 0.7500 0.7500 0.7500
4 Pm 0.5000 0.5000 0.5000

Output
calculated total energy	-6.630	eV/atom



# 2
A relaxed structure of SiSn2Rh, computed with PBE-GGA.

Lattice parameters (Å, degrees): 6.1502 6.1502 7.2188 64.79 64.79 90.00
Sites, in units of the cell vectors:
1 Si 0.5000 0.5000 0.0000
2 Si 0.2500 0.7500 0.5000
3 Rh 0.0000 0.0000 0.0000
4 Rh 0.7500 0.2500 0.5000
5 Sn 0.6329 0.1250 0.2500
6 Sn 0.1171 0.6250 0.2500
7 Sn 0.3750 0.3671 0.7500
8 Sn 0.8750 0.8829 0.7500

Output
calculated total energy	-4.936	eV/atom
energy relative to the elements, uncorrected	0.2589	eV per atom



# 3
A relaxed structure of NbHS2Cl, computed with PBE-GGA.

Lattice parameters (Å, degrees): 3.8765 3.8765 4.7976 90.00 90.00 90.00
Sites, in units of the cell vectors:
1 H 0.0000 0.0000 0.0000
2 Nb 0.5000 0.5000 0.5000
3 S 0.0000 0.5000 0.0000
4 S 0.5000 0.0000 0.0000
5 Cl 0.0000 0.0000 0.5000

Output
calculated total energy	-4.189	eV/atom



# 4
A relaxed structure of Cs3BaBr6, computed with PBE-GGA.

Lattice parameters (Å, degrees): 9.3012 9.3012 9.3012 60.00 60.00 90.00
Sites, in units of the cell vectors:
1 Cs 0.5000 0.5000 0.0000
2 Cs 0.7500 0.2500 0.5000
3 Cs 0.2500 0.7500 0.5000
4 Ba 0.0000 0.0000 0.0000
5 Br 0.2401 0.2401 0.5199
6 Br 0.7599 0.7599 0.4801
7 Br 0.2400 0.2400 0.0000
8 Br 0.7600 0.7600 0.0000
9 Br 0.7600 0.2400 0.0000
10 Br 0.2400 0.7600 0.0000

Output
calculated total energy	-2.996	eV/atom
energy relative to the elements, uncorrected	-1.5434	eV per atom



Mass density
In order: 10.89; 5.61; 4.46; 2.96
Unit: g/cm3
Fermi-level density of states
In order: 6.954; 7.001; 2.958; 22.237
Unit: states/eV/cell